This record from Alexandria via LeMat-Bulk describes a geometry-optimized Pu4As6Rh7 structure. The functional is PBE-GGA.

a b c (Å): 7.338 7.338 7.338
angles (deg): 109.47 109.47 109.47
Each line ends with the local moment (μB).
Atoms (fractional coordinates):
Pu 0.500 0.000 0.000  5.03
Pu 0.500 0.500 0.500  5.03
Pu 0.000 0.500 0.000  5.03
Pu 0.000 0.000 0.500  5.03
As 0.683 0.000 0.683  -0.02
As 0.683 0.683 0.000  -0.02
As 0.000 0.317 0.317  -0.02
As 0.317 0.000 0.317  -0.02
As 0.317 0.317 0.000  -0.02
As 0.000 0.683 0.683  -0.02
Rh 0.750 0.500 0.250  0.07
Rh 0.250 0.750 0.500  0.07
Rh 0.500 0.750 0.250  0.07
Rh 0.750 0.250 0.500  0.07
Rh 0.250 0.500 0.750  0.07
Rh 0.500 0.250 0.750  0.07
Rh 0.000 0.000 0.000  0.04

total energy	-8.750	eV/atom
calculated formation energy	-709	meV per atom
space-group type	Im-3m, No. 229